Entry 1:
Density functional theory data (PBEsol) for a geometry-optimized Fe3Se structure.

Cell lengths 3.0858, 3.9168, 4.6992 Å; angles 114.63, 109.17, 90.00 degrees
With the nearest neighbours (Å) after each atom.
Element x y z (fractional)
Fe (0.7488, 0.7488, 0.4976)  8 Fe 2.49-2.79, 2 Se 2.51
Fe (0.5000, 0.0000, 0.0000)  4 Se 2.49, 8 Fe 2.53-2.79
Fe (0.2512, 0.2512, 0.5024)  8 Fe 2.49-2.79, 2 Se 2.51
Se (0.0000, 0.5000, 0.0000)  8 Fe 2.49-2.51

Magnetization = 7.04 μB/cell
Space group = Immm (71)
Total energy = -7.51 eV per atom
N(E_F) = 4.11 states/eV per cell

Entry 2:
Density functional theory data (PBEsol) for a geometry-optimized Er4Cu5P7 structure.

Cell lengths 5.1720, 5.1720, 10.1324 Å; angles 104.79, 104.79, 90.00 degrees
With the nearest neighbours (Å) after each atom.
Element x y z (fractional)
Er (0.3753, 0.8579, 0.2332)  7 P 2.76-2.86, 2 Cu 2.90-3.06
Er (0.8579, 0.3753, 0.2332)  7 P 2.76-2.86, 2 Cu 2.90-3.06
Er (0.6247, 0.6247, 0.7668)  7 P 2.76-2.86, 2 Cu 2.90-3.06
Er (0.1421, 0.1421, 0.7668)  7 P 2.76-2.86, 2 Cu 2.90-3.06
Cu (0.2510, 0.2510, 0.5019)  4 P 2.35-2.39, 4 Cu 2.59
Cu (0.7490, 0.7490, 0.4981)  4 P 2.35-2.39, 4 Cu 2.59
Cu (0.7500, 0.2500, 0.5000)  4 P 2.37, 4 Cu 2.59
Cu (0.2500, 0.7500, 0.5000)  4 P 2.37, 4 Cu 2.59
Cu (0.0000, 0.0000, 0.0000)  4 P 2.59
P (0.5847, 0.0747, 0.6594)  4 Cu 2.35-2.39
P (0.0747, 0.5847, 0.6594)  4 Cu 2.35-2.39
P (0.4153, 0.4153, 0.3406)  4 Cu 2.35-2.39
P (0.9253, 0.9253, 0.3406)  4 Cu 2.35-2.39
P (0.5000, 0.5000, 0.0000)  4 P 2.59, 4 Er 2.82
P (0.5000, 0.0000, 0.0000)  2 Cu 2.59, 2 P 2.59, 4 Er 2.86
P (0.0000, 0.5000, 0.0000)  2 Cu 2.59, 2 P 2.59, 4 Er 2.86

Magnetization = 0.00 μB/cell
Space group = I-42m (121)
Total energy = -5.99 eV per atom
N(E_F) = 2.26 states/eV per cell